# 1
Entry from the Alexandria database: a relaxed Cs4Ag3GeCl12 crystal (GGA-PBE).

Properties
Electronic total energy in eV for the cell shown: -62.599
Total moment in μB per cell: 0.0
ρ in kg/m3: 3850
Uncorrected formation energy in eV/atom: -1.19

Cell lengths 9.119, 9.119, 9.119 Å; angles 109.47, 109.47, 109.47 degrees
Fractional coordinates of all 20 atoms:
Cs 0.000 0.000 0.500
Cs 0.000 0.500 0.000
Cs 0.500 0.000 0.000
Cs 0.500 0.500 0.500
Ag 0.000 0.500 0.500
Ag 0.500 0.000 0.500
Ag 0.500 0.500 0.000
Ge 0.000 0.000 0.000
Cl 0.000 0.222 0.222
Cl 0.000 0.778 0.778
Cl 0.222 0.000 0.222
Cl 0.222 0.222 0.000
Cl 0.250 0.500 0.750
Cl 0.250 0.750 0.500
Cl 0.500 0.250 0.750
Cl 0.500 0.750 0.250
Cl 0.750 0.250 0.500
Cl 0.750 0.500 0.250
Cl 0.778 0.000 0.778
Cl 0.778 0.778 0.000

# 2
Entry from the Alexandria database: a relaxed Cs2DyAs2O6 crystal (GGA-PBE).

Properties
Electronic total energy in eV for the cell shown: -66.401
Total moment in μB per cell: 0.8
ρ in kg/m3: 5083
Uncorrected formation energy in eV/atom: -1.91

Cell lengths 6.105, 6.105, 7.568 Å; angles 112.09, 112.09, 60.11 degrees
Fractional coordinates of all 11 atoms:
Cs 0.223 0.223 0.184
Cs 0.777 0.777 0.816
Dy 0.000 0.000 0.500
As 0.424 0.424 0.774
As 0.576 0.576 0.226
O 0.239 0.239 0.637
O 0.261 0.724 0.706
O 0.276 0.739 0.294
O 0.724 0.261 0.706
O 0.739 0.276 0.294
O 0.761 0.761 0.363

Q: Which value of total moment does entry 2 give?
A: 0.8 μB per cell

Repeat the second record exactly.
Entry from the Alexandria database: a relaxed Cs2DyAs2O6 crystal (GGA-PBE).

Properties
Electronic total energy in eV for the cell shown: -66.401
Total moment in μB per cell: 0.8
ρ in kg/m3: 5083
Uncorrected formation energy in eV/atom: -1.91

Cell lengths 6.105, 6.105, 7.568 Å; angles 112.09, 112.09, 60.11 degrees
Fractional coordinates of all 11 atoms:
Cs 0.223 0.223 0.184
Cs 0.777 0.777 0.816
Dy 0.000 0.000 0.500
As 0.424 0.424 0.774
As 0.576 0.576 0.226
O 0.239 0.239 0.637
O 0.261 0.724 0.706
O 0.276 0.739 0.294
O 0.724 0.261 0.706
O 0.739 0.276 0.294
O 0.761 0.761 0.363